VASP calculation (GGA-PBE) on a geometry-optimized ReAs structure.

Computed properties:
calculated formation energy: 0.3989 eV/atom
excess energy over the best structure of this formula in the dataset: 324 meV per atom

Structure (CIF):
```
data_ReAs
_chemical_formula_sum 'Re3 As3'
_space_group_name_H-M_alt 'R -3 m'
_space_group_IT_number 166
_space_group_name_Hall '-R 3 2"'
_cell_length_a 2.9965
_cell_length_b 2.9965
_cell_length_c 11.7836
_cell_angle_alpha 90.00
_cell_angle_beta 90.00
_cell_angle_gamma 120.00
loop_
_atom_site_label
_atom_site_type_symbol
_atom_site_fract_x
_atom_site_fract_y
_atom_site_fract_z
Re1 Re 0.0000 0.0000 0.0000
As1 As 0.0000 0.0000 0.5000
```